[1]
Here is a geometry-optimized K2PrNpS4 structure from Alexandria via LeMat-Bulk. Energies are from PBE-GGA.

Values from the calculation:
Its energy is -6.158 eV/atom. The calculation puts the total magnetization at 4.000 μB per cell. Its space-group type is P2/m.

a b c (Å): 4.1698 7.2284 7.7660
angles (deg): 108.16 90.00 90.00
With the nearest neighbours (Å) after each atom.
Atoms (fractional coordinates):
1 S 0.0000 0.7260 0.2021  2 Np 2.81, 1 Pr 2.89
2 Pr 0.0000 0.0000 0.0000  6 S 2.88-2.89
3 K 0.0000 0.5000 0.5000  6 S 3.21-3.22
4 S 0.5000 0.2425 0.2083  1 Np 2.82, 2 Pr 2.88
5 K 0.5000 0.0000 0.5000  6 S 3.27-3.28
6 Np 0.5000 0.5000 0.0000  6 S 2.81-2.82
7 S 0.0000 0.2740 0.7979  2 Np 2.81, 1 Pr 2.89
8 S 0.5000 0.7575 0.7917  1 Np 2.82, 2 Pr 2.88

***

[2]
Here is a geometry-optimized Rb2MgO structure from Alexandria via LeMat-Bulk. Energies are from PBE-GGA.

Values from the calculation:
Its energy is -2.885 eV/atom. The calculation puts the total magnetization at 0.000 μB per cell. Its space-group type is I-42d.

a b c (Å): 13.1187 13.1187 9.4768
angles (deg): 46.20 46.20 90.00
With the nearest neighbours (Å) after each atom.
Atoms (fractional coordinates):
1 Rb 0.8750 0.6908 0.7500  2 O 3.43, 2 Mg 3.69
2 Rb 0.3092 0.6250 0.2500  2 O 3.43, 2 Mg 3.69
3 O 0.2500 0.7500 0.5000  2 Mg 1.94
4 Rb 0.4408 0.1250 0.2500  2 O 3.43, 2 Mg 3.69
5 Mg 0.7500 0.2500 0.5000  2 O 1.94
6 Rb 0.3750 0.5592 0.7500  2 O 3.43, 2 Mg 3.69
7 O 0.5000 0.5000 0.0000  2 Mg 1.94
8 Mg 0.0000 0.0000 0.0000  2 O 1.94

***

[3]
Here is a geometry-optimized ZrAl4As structure from Alexandria via LeMat-Bulk. Energies are from PBE-GGA.

Values from the calculation:
The formation energy comes out at -175.3 meV/atom. The calculation puts the total magnetization at 0.000 μB per cell. Its space-group type is F-43m.

a b c (Å): 5.3088 5.3088 5.3088
angles (deg): 60.00 60.00 60.00
With the nearest neighbours (Å) after each atom.
Atoms (fractional coordinates):
1 Al 0.3738 0.8785 0.3738  6 Al 2.63-2.68
2 Al 0.8785 0.3738 0.3738  6 Al 2.63-2.68
3 Al 0.3738 0.3738 0.8785  6 Al 2.63-2.68
4 As 0.7500 0.7500 0.7500  12 Al 3.12, 4 Zr 3.25
5 Zr 0.0000 0.0000 0.0000  12 Al 3.11, 4 As 3.25
6 Al 0.3738 0.3738 0.3738  6 Al 2.63-2.68

***

Question: Number 2 is which compound?
Answer: Rb2MgO

***

Repeat the second record exactly.
Here is a geometry-optimized Rb2MgO structure from Alexandria via LeMat-Bulk. Energies are from PBE-GGA.

Values from the calculation:
Its energy is -2.885 eV/atom. The calculation puts the total magnetization at 0.000 μB per cell. Its space-group type is I-42d.

a b c (Å): 13.1187 13.1187 9.4768
angles (deg): 46.20 46.20 90.00
With the nearest neighbours (Å) after each atom.
Atoms (fractional coordinates):
1 Rb 0.8750 0.6908 0.7500  2 O 3.43, 2 Mg 3.69
2 Rb 0.3092 0.6250 0.2500  2 O 3.43, 2 Mg 3.69
3 O 0.2500 0.7500 0.5000  2 Mg 1.94
4 Rb 0.4408 0.1250 0.2500  2 O 3.43, 2 Mg 3.69
5 Mg 0.7500 0.2500 0.5000  2 O 1.94
6 Rb 0.3750 0.5592 0.7500  2 O 3.43, 2 Mg 3.69
7 O 0.5000 0.5000 0.0000  2 Mg 1.94
8 Mg 0.0000 0.0000 0.0000  2 O 1.94

***

Question: total magnetization of number 2 (Rb2MgO)?
Answer: 0.000 μB per cell

***

Question: What is the total magnetization in the third record?
Answer: 0.000 μB per cell